[1]
Material: CdHgNO2
Method: DFT, GGA-PBE
State: optimized geometry

## Properties
- space-group type = No. 123
- energy (eV/atom) = -2.948
- mass density (g cm⁻³) = 7.8

a b c (Å): 4.304 4.304 4.139
angles (deg): 90.00 90.00 90.00
Atoms (fractional coordinates):
Cd 0.000 0.000 0.000
Hg 0.500 0.500 0.500
N 0.500 0.500 0.000
O 0.000 0.500 0.500
O 0.500 0.000 0.500



[2]
Material: RePt2Se
Method: DFT, GGA-PBE
State: optimized geometry

## Properties
- space-group type = No. 123
- energy (eV/atom) = -6.447
- mass density (g cm⁻³) = 17.1

a b c (Å): 3.836 3.836 4.331
angles (deg): 90.00 90.00 90.00
Atoms (fractional coordinates):
Re 0.000 0.000 0.000
Pt 0.000 0.500 0.500
Pt 0.500 0.000 0.500
Se 0.500 0.500 0.000



[3]
Material: SnHg2Ge2
Method: DFT, GGA-PBE
State: optimized geometry

## Properties
- space-group type = No. 139
- formation energy (eV/atom) = 0.282
- mass density (g cm⁻³) = 9.0

a b c (Å): 7.530 7.530 7.530
angles (deg): 147.42 147.42 46.74
Atoms (fractional coordinates):
Sn 0.000 0.000 0.000
Hg 0.250 0.750 0.500
Hg 0.750 0.250 0.500
Ge 0.406 0.406 0.000
Ge 0.594 0.594 0.000



[4]
Material: SrNb2Pt2
Method: DFT, GGA-PBE
State: optimized geometry

## Properties
- space-group type = No. 127
- formation energy (eV/atom) = -0.334
- mass density (g cm⁻³) = 11.2

a b c (Å): 8.317 8.317 2.848
angles (deg): 90.00 90.00 90.00
Atoms (fractional coordinates):
Sr 0.000 0.000 0.000
Sr 0.500 0.500 0.000
Nb 0.118 0.382 0.000
Nb 0.382 0.882 0.000
Nb 0.618 0.118 0.000
Nb 0.882 0.618 0.000
Pt 0.174 0.674 0.500
Pt 0.326 0.174 0.500
Pt 0.674 0.826 0.500
Pt 0.826 0.326 0.500



- What is the formula in the fourth record?
  SrNb2Pt2